<A>
VASP calculation (GGA-PBE) on crystalline Ta6Pb4O19 at its relaxed geometry.

a b c (Å): 8.314 8.314 8.314
angles (deg): 109.47 109.47 109.47
Positions (direct):
Ta: 0.839 0.339 0.500
Ta: 0.500 0.161 0.661
Ta: 0.161 0.661 0.500
Ta: 0.661 0.500 0.161
Ta: 0.339 0.500 0.839
Ta: 0.500 0.839 0.339
O: 0.949 0.655 0.288
O: 0.638 0.638 0.000
O: 0.633 0.345 0.294
O: 0.367 0.661 0.712
O: 0.661 0.712 0.367
O: 0.638 0.000 0.638
O: 0.000 0.638 0.638
O: 0.051 0.339 0.706
O: 0.712 0.367 0.661
O: 0.288 0.949 0.655
O: 0.362 0.362 0.000
O: 0.294 0.633 0.345
O: 0.339 0.706 0.051
O: 0.000 0.362 0.362
O: 0.000 0.000 0.000
O: 0.362 0.000 0.362
O: 0.706 0.051 0.339
O: 0.655 0.288 0.949
O: 0.345 0.294 0.633
Pb: 0.000 0.709 0.000
Pb: 0.000 0.000 0.709
Pb: 0.709 0.000 0.000
Pb: 0.291 0.291 0.291

Spin magnetization in Bohr magnetons per cell: 0.0

<B>
VASP calculation (GGA-PBE) on crystalline Ta6Pb4O19 at its relaxed geometry.

a b c (Å): 7.516 10.647 13.033
angles (deg): 114.11 106.76 90.00
Positions (direct):
Ta: 0.000 0.000 0.500
Ta: 0.665 0.667 0.330
Ta: 0.832 0.332 0.163
Ta: 0.835 0.837 0.670
Ta: 0.168 0.668 0.837
Ta: 0.668 0.668 0.837
Ta: 0.332 0.332 0.163
Ta: 0.335 0.333 0.670
Ta: 0.000 0.000 0.000
Ta: 0.165 0.163 0.330
Ta: 0.500 0.500 0.000
Ta: 0.500 0.000 0.500
O: 0.162 0.480 0.707
O: 0.584 0.639 0.167
O: 0.174 0.858 0.958
O: 0.002 0.934 0.622
O: 0.916 0.971 0.833
O: 0.879 0.811 0.378
O: 0.580 0.265 0.160
O: 0.284 0.600 0.958
O: 0.621 0.934 0.622
O: 0.784 0.858 0.958
O: 0.750 0.680 0.500
O: 0.838 0.520 0.293
O: 0.955 0.273 0.293
O: 0.080 0.395 0.160
O: 0.716 0.400 0.042
O: 0.326 0.400 0.042
O: 0.662 0.727 0.707
O: 0.420 0.735 0.840
O: 0.502 0.189 0.622
O: 0.121 0.189 0.622
O: 0.084 0.029 0.167
O: 0.920 0.605 0.840
O: 0.455 0.520 0.293
O: 0.750 0.342 0.500
O: 0.338 0.273 0.293
O: 0.250 0.935 0.500
O: 0.545 0.480 0.707
O: 0.674 0.600 0.958
O: 0.045 0.727 0.707
O: 0.750 0.065 0.500
O: 0.416 0.361 0.833
O: 0.998 0.066 0.378
O: 0.250 0.658 0.500
O: 0.826 0.142 0.042
O: 0.379 0.066 0.378
O: 0.498 0.811 0.378
O: 0.250 0.320 0.500
O: 0.216 0.142 0.042
Pb: 0.666 0.148 0.332
Pb: 0.000 0.500 0.000
Pb: 0.500 0.500 0.500
Pb: 0.834 0.316 0.668
Pb: 0.166 0.684 0.332
Pb: 0.500 0.000 0.000
Pb: 0.000 0.500 0.500
Pb: 0.334 0.852 0.668

Spin magnetization in Bohr magnetons per cell: 0.0

<C>
VASP calculation (GGA-PBE) on crystalline Ta6Pb4O19 at its relaxed geometry.

a b c (Å): 7.514 7.536 18.438
angles (deg): 90.41 90.00 119.90
Positions (direct):
Pb: 0.653 0.306 0.323
Pb: 0.500 0.500 0.500
Pb: 0.500 0.000 0.500
Pb: 0.000 0.500 0.500
Pb: 0.000 0.000 0.000
Pb: 0.347 0.694 0.677
Pb: 0.187 0.373 0.825
Pb: 0.813 0.627 0.175
O: 0.455 0.909 0.103
O: 0.204 0.408 0.975
O: 0.664 0.327 0.438
O: 0.459 0.546 0.355
O: 0.746 0.874 0.685
O: 0.080 0.541 0.104
O: 0.408 0.206 0.019
O: 0.539 0.459 0.896
O: 0.254 0.127 0.563
O: 0.461 0.541 0.104
O: 0.590 0.779 0.227
O: 0.128 0.874 0.685
O: 0.913 0.454 0.645
O: 0.213 0.425 0.231
O: 0.087 0.546 0.355
O: 0.202 0.794 0.981
O: 0.787 0.575 0.769
O: 0.746 0.873 0.437
O: 0.920 0.459 0.896
O: 0.541 0.454 0.645
O: 0.189 0.779 0.227
O: 0.796 0.592 0.025
O: 0.811 0.221 0.773
O: 0.126 0.252 0.692
O: 0.872 0.126 0.315
O: 0.592 0.794 0.981
O: 0.538 0.076 0.651
O: 0.126 0.253 0.440
O: 0.127 0.873 0.437
O: 0.873 0.127 0.563
O: 0.336 0.673 0.562
O: 0.874 0.747 0.560
O: 0.254 0.126 0.315
O: 0.874 0.748 0.308
O: 0.462 0.924 0.349
O: 0.798 0.206 0.019
O: 0.410 0.221 0.773
O: 0.545 0.091 0.897
Ta: 0.665 0.330 0.836
Ta: 0.834 0.668 0.672
Ta: 0.835 0.169 0.669
Ta: 0.000 0.500 0.000
Ta: 0.500 0.000 0.000
Ta: 0.165 0.831 0.331
Ta: 0.000 0.000 0.500
Ta: 0.334 0.169 0.669
Ta: 0.500 0.500 0.000
Ta: 0.335 0.670 0.164
Ta: 0.666 0.831 0.331
Ta: 0.166 0.332 0.328

Spin magnetization in Bohr magnetons per cell: 0.0

Result of the stability comparison: <A> is the least stable of them.

<A>
VASP calculation (GGA-PBE) on crystalline Ta2PbO2 at its relaxed geometry.

a b c (Å): 4.144 4.144 5.776
angles (deg): 68.98 68.98 90.00
Positions (direct):
Ta: 0.750 0.250 0.500
Ta: 0.250 0.750 0.500
O: 0.703 0.703 0.595
O: 0.297 0.297 0.405
Pb: 0.000 0.000 0.000

Spin magnetization in Bohr magnetons per cell: 0.0

<B>
VASP calculation (GGA-PBE) on crystalline Ta2PbO2 at its relaxed geometry.

a b c (Å): 7.404 7.404 2.841
angles (deg): 90.00 90.00 90.00
Positions (direct):
Pb: 0.500 0.500 0.000
Pb: 0.000 0.000 0.000
Ta: 0.126 0.626 0.500
Ta: 0.874 0.374 0.500
Ta: 0.374 0.126 0.500
Ta: 0.626 0.874 0.500
O: 0.110 0.390 0.000
O: 0.390 0.890 0.000
O: 0.890 0.610 0.000
O: 0.610 0.110 0.000

Spin magnetization in Bohr magnetons per cell: 0.0

Result of the stability comparison: <B> is the least stable of them.

<A>
VASP calculation (GGA-PBE) on crystalline Ta2PbO6 at its relaxed geometry.

a b c (Å): 3.888 5.438 7.502
angles (deg): 70.94 74.98 69.06
Positions (direct):
O: 0.678 0.788 0.856
O: 0.699 0.164 0.438
O: 0.013 0.647 0.327
O: 0.322 0.212 0.144
O: 0.987 0.353 0.673
O: 0.301 0.836 0.562
Ta: 0.175 0.265 0.386
Ta: 0.825 0.735 0.614
Pb: 0.000 0.000 0.000

Spin magnetization in Bohr magnetons per cell: 0.0

<B>
VASP calculation (GGA-PBE) on crystalline Ta2PbO6 at its relaxed geometry.

a b c (Å): 5.745 7.731 11.218
angles (deg): 90.00 90.00 90.00
Positions (direct):
O: 0.369 0.750 0.631
O: 0.029 0.750 0.854
O: 0.348 0.455 0.218
O: 0.715 0.966 0.522
O: 0.785 0.534 0.022
O: 0.715 0.534 0.522
O: 0.785 0.966 0.022
O: 0.285 0.034 0.478
O: 0.848 0.545 0.282
O: 0.631 0.250 0.369
O: 0.215 0.466 0.978
O: 0.285 0.466 0.478
O: 0.471 0.750 0.354
O: 0.652 0.955 0.782
O: 0.848 0.955 0.282
O: 0.869 0.250 0.869
O: 0.971 0.250 0.146
O: 0.131 0.750 0.131
O: 0.348 0.045 0.218
O: 0.152 0.045 0.718
O: 0.152 0.455 0.718
O: 0.529 0.250 0.646
O: 0.215 0.034 0.978
O: 0.652 0.545 0.782
Ta: 0.534 0.497 0.357
Ta: 0.034 0.503 0.143
Ta: 0.466 0.997 0.643
Ta: 0.534 0.003 0.357
Ta: 0.466 0.503 0.643
Ta: 0.966 0.003 0.857
Ta: 0.034 0.997 0.143
Ta: 0.966 0.497 0.857
Pb: 0.462 0.750 0.964
Pb: 0.038 0.750 0.464
Pb: 0.962 0.250 0.536
Pb: 0.538 0.250 0.036

Spin magnetization in Bohr magnetons per cell: 0.0

Result of the stability comparison: <A> is the least stable of them.

<A>
VASP calculation (GGA-PBE) on crystalline TaPb3O at its relaxed geometry.

a b c (Å): 5.477 5.477 5.477
angles (deg): 90.00 90.00 90.00
Positions (direct):
Pb: 0.500 0.000 0.000
Pb: 0.000 0.000 0.500
Pb: 0.000 0.500 0.000
O: 0.500 0.500 0.500
Ta: 0.000 0.000 0.000

Spin magnetization in Bohr magnetons per cell: 0.0

<B>
VASP calculation (GGA-PBE) on crystalline TaPb3O at its relaxed geometry.

a b c (Å): 4.865 4.865 4.865
angles (deg): 90.00 90.00 90.00
Positions (direct):
Ta: 0.500 0.500 0.500
Pb: 0.500 0.000 0.000
Pb: 0.000 0.500 0.000
Pb: 0.000 0.000 0.500
O: 0.000 0.000 0.000

Spin magnetization in Bohr magnetons per cell: 0.0

Result of the stability comparison: <A> is the least stable of them.

<A>
VASP calculation (GGA-PBE) on crystalline Ta2PbO at its relaxed geometry.

a b c (Å): 5.323 5.323 7.035
angles (deg): 67.77 67.77 90.00
Positions (direct):
Ta: 0.289 0.625 0.250
Ta: 0.875 0.711 0.750
Ta: 0.375 0.539 0.750
Ta: 0.461 0.125 0.250
Pb: 0.000 0.000 0.000
Pb: 0.750 0.250 0.500
O: 0.500 0.500 0.000
O: 0.250 0.750 0.500

Spin magnetization in Bohr magnetons per cell: 0.0

<B>
VASP calculation (GGA-PBE) on crystalline Ta2PbO at its relaxed geometry.

a b c (Å): 4.582 4.582 4.582
angles (deg): 60.00 60.00 60.00
Positions (direct):
O: 0.000 0.000 0.000
Ta: 0.250 0.250 0.250
Ta: 0.750 0.750 0.750
Pb: 0.500 0.500 0.500

Spin magnetization in Bohr magnetons per cell: 0.0

Result of the stability comparison: <B> is the least stable of them.

<A>
VASP calculation (GGA-PBE) on crystalline Tb2PbO at its relaxed geometry.

a b c (Å): 6.325 6.386 10.296
angles (deg): 99.23 90.00 90.00
Positions (direct):
Tb: 0.236 0.053 0.073
Tb: 0.764 0.553 0.573
Tb: 0.820 0.041 0.327
Tb: 0.764 0.947 0.927
Tb: 0.236 0.447 0.427
Tb: 0.180 0.959 0.673
Tb: 0.820 0.459 0.173
Tb: 0.180 0.541 0.827
O: 0.103 0.613 0.622
O: 0.897 0.387 0.378
O: 0.103 0.887 0.878
O: 0.897 0.113 0.122
Pb: 0.683 0.434 0.871
Pb: 0.317 0.566 0.129
Pb: 0.317 0.934 0.371
Pb: 0.683 0.066 0.629

Spin magnetization in Bohr magnetons per cell: 0.0

<B>
VASP calculation (GGA-PBE) on crystalline Tb2PbO at its relaxed geometry.

a b c (Å): 3.200 3.200 7.879
angles (deg): 90.00 90.00 90.00
Positions (direct):
Tb: 0.000 0.000 0.804
Tb: 0.000 0.000 0.196
O: 0.500 0.500 0.000
Pb: 0.500 0.500 0.500

Spin magnetization in Bohr magnetons per cell: 0.0

Result of the stability comparison: <B> is the least stable of them.

<A>
VASP calculation (GGA-PBE) on crystalline Tb2PbO at its relaxed geometry.

a b c (Å): 3.597 3.597 7.992
angles (deg): 76.99 76.99 60.00
Positions (direct):
Tb: 0.722 0.722 0.833
Tb: 0.278 0.278 0.167
Pb: 0.500 0.500 0.500
O: 0.000 0.000 0.000

Spin magnetization in Bohr magnetons per cell: 0.0

<B>
VASP calculation (GGA-PBE) on crystalline Tb2PbO at its relaxed geometry.

a b c (Å): 4.550 4.550 8.919
angles (deg): 90.02 90.02 90.00
Positions (direct):
Tb: 0.250 0.750 0.500
Tb: 0.750 0.750 0.830
Tb: 0.250 0.250 0.170
Tb: 0.750 0.250 0.500
O: 0.750 0.750 0.573
O: 0.250 0.250 0.427
Pb: 0.750 0.750 0.198
Pb: 0.250 0.250 0.802

Spin magnetization in Bohr magnetons per cell: 0.0

Result of the stability comparison: <A> is the least stable of them.

<A>
VASP calculation (GGA-PBE) on crystalline TcPb3O at its relaxed geometry.

a b c (Å): 4.914 4.914 4.914
angles (deg): 90.00 90.00 90.00
Each line ends with the local moment (μB).
Positions (direct):
Tc: 0.500 0.500 0.500  2.60
Pb: 0.500 0.000 0.000  -0.01
Pb: 0.000 0.000 0.500  -0.05
Pb: 0.000 0.500 0.000  -0.05
O: 0.000 0.000 0.000  -0.02

Spin magnetization in Bohr magnetons per cell: 2.6

<B>
VASP calculation (GGA-PBE) on crystalline TcPb3O at its relaxed geometry.

a b c (Å): 5.252 5.252 5.252
angles (deg): 90.00 90.00 90.00
Each line ends with the local moment (μB).
Positions (direct):
Tc: 0.000 0.000 0.000  0.00
O: 0.500 0.500 0.500  -0.70
Pb: 0.000 0.500 0.000  -0.01
Pb: 0.000 0.000 0.500  -0.02
Pb: 0.500 0.000 0.000  0.00

Spin magnetization in Bohr magnetons per cell: 0.9

Result of the stability comparison: <B> is the least stable of them.